## Co2I4N (PBE)

Data for crystalline Co2I4N at its relaxed geometry.

Results
Uncorrected formation energy, eV/atom: 0.760
Uncorrected energy, eV per formula unit: -23.42

POSCAR file:
```
Co2I4N
1.0
-2.4233 2.4233 10.0344
2.4233 -2.4233 10.0344
2.4233 2.4233 -10.0344
Co I N
2 4 1
direct
0.0572 0.0572 0.0000 Co
0.9428 0.9428 0.0000 Co
0.0000 0.5000 0.5000 I
0.1778 0.1778 0.0000 I
0.5000 0.0000 0.5000 I
0.8222 0.8222 0.0000 I
0.5000 0.5000 0.0000 N
```